# 1
RbZnFe2As: relaxed, PBE.

Values from the calculation:
* DFT total energy: -17.70 eV per cell
* symmetry: No. 123

Lattice parameters (Å, degrees): 4.744 4.744 5.617 90.00 90.00 90.00
Sites, in units of the cell vectors:
1 Rb 0.000 0.000 0.000
2 Zn 0.000 0.000 0.500
3 Fe 0.000 0.500 0.500
4 Fe 0.500 0.000 0.500
5 As 0.500 0.500 0.000

# 2
NaSm2PbSe4: relaxed, PBE.

Values from the calculation:
* uncorrected formation energy: -1397 meV/atom
* symmetry: No. 74

Lattice parameters (Å, degrees): 8.537 8.537 8.537 120.21 119.46 90.29
Sites, in units of the cell vectors:
1 Na 0.500 0.000 0.000
2 Na 0.500 0.500 0.500
3 Sm 0.000 0.000 0.000
4 Sm 0.000 0.000 0.500
5 Sm 0.000 0.500 0.000
6 Sm 0.500 0.000 0.500
7 Pb 0.000 0.500 0.500
8 Pb 0.500 0.500 0.000
9 Se 0.236 0.245 0.991
10 Se 0.247 0.755 0.491
11 Se 0.248 0.239 0.490
12 Se 0.248 0.758 0.010
13 Se 0.752 0.242 0.990
14 Se 0.752 0.761 0.510
15 Se 0.753 0.245 0.509
16 Se 0.764 0.755 0.009

Density of states at the Fermi level for the records above, in order: 7.0, 3.5 states/eV/f.u.